Entry 1:
First-principles (PBE) data for a relaxed structure of TaAu, as listed in Alexandria via LeMat-Bulk.

abc: 4.616 4.616 8.375
angles: 90.00 90.00 120.00
Site moments in Bohr magnetons follow the coordinates.
Element x y z (fractional)
1 Au 0.333 0.667 0.750  0.07
2 Au 0.667 0.333 0.250  0.07
3 Au 0.000 0.000 0.250  0.04
4 Au 0.000 0.000 0.750  0.04
5 Ta 0.667 0.333 0.585  0.57
6 Ta 0.667 0.333 0.915  0.57
7 Ta 0.333 0.667 0.415  0.57
8 Ta 0.333 0.667 0.085  0.57

Calculated values
Magnetic moment in μB per cell: 3.41
Calculated formation energy in eV per atom: 0.487
Theoretical density in g cm⁻³: 16.2

Entry 2:
First-principles (PBE) data for a relaxed structure of Ba2LaPb, as listed in Alexandria via LeMat-Bulk.

abc: 6.673 6.673 6.673
angles: 132.62 132.62 69.26
Element x y z (fractional)
1 Ba 0.250 0.750 0.500
2 Ba 0.000 0.000 0.000
3 Pb 0.750 0.250 0.500
4 La 0.500 0.500 0.000

Calculated values
Magnetic moment in μB per cell: 0.00
Calculated formation energy in eV per atom: -0.160
Theoretical density in g cm⁻³: 6.5

Entry 3:
First-principles (PBE) data for a relaxed structure of PmEr5Hg2, as listed in Alexandria via LeMat-Bulk.

abc: 3.716 8.183 8.183
angles: 76.10 76.88 76.88
Element x y z (fractional)
1 Er 0.637 0.588 0.139
2 Er 0.363 0.861 0.412
3 Er 0.363 0.412 0.861
4 Er 0.000 0.500 0.500
5 Er 0.637 0.139 0.588
6 Hg 0.260 0.240 0.240
7 Hg 0.740 0.760 0.760
8 Pm 0.000 0.000 0.000

Calculated values
Magnetic moment in μB per cell: 0.00
Calculated formation energy in eV per atom: -0.170
Theoretical density in g cm⁻³: 9.9

Entry 4:
First-principles (PBE) data for a relaxed structure of InCu2Cl, as listed in Alexandria via LeMat-Bulk.

abc: 7.588 7.588 7.588
angles: 25.62 25.62 25.62
Element x y z (fractional)
1 Cl 0.750 0.750 0.750
2 In 0.250 0.250 0.250
3 Cu 0.005 0.005 0.005
4 Cu 0.495 0.495 0.495

Calculated values
Magnetic moment in μB per cell: 0.00
Formation energy without anion corrections in eV per atom: -0.01
Energy relative to the lowest polymorph listed for this composition in meV per atom: 89
Theoretical density in g cm⁻³: 6.4